# GGA-PBE KPaRhN3, optimized geometry
data_KPaRhN3
_chemical_formula_sum 'K2 Pa2 Rh2 N6'
_cell_length_a 7.6439
_cell_length_b 3.6103
_cell_length_c 9.1852
_cell_angle_alpha 90.00
_cell_angle_beta 107.48
_cell_angle_gamma 90.00
_space_group_name_H-M_alt 'P 1 21/m 1'
_space_group_IT_number 11
_space_group_name_Hall '-P 2yb'
loop_
_atom_site_label
_atom_site_fract_x
_atom_site_fract_y
_atom_site_fract_z
K1 0.1866 0.2500 0.1792
Pa1 0.3345 0.7500 0.8544
Rh1 0.0389 0.2500 0.6087
N1 0.1460 0.2500 0.8438
N2 0.1522 0.7500 0.6001
N3 0.4681 0.7500 0.1099
# Total DFT energy (no corrections) ... -93.17 eV for the cell shown
# Volume ... 20.1 Å³ per atom
# Total magnetization ... 0.000 μB/f.u.
# Raw formation energy ... -611 meV/atom